# 1
Fe2CuB | PBE-GGA | relaxed

Cell: 3.3372 3.3372 15.9297 Å, 90.00 90.00 90.00°
Atoms (fractional coordinates):
Fe 0.2216 0.2500 0.1250
Fe 0.2500 0.7216 0.3750
Fe 0.2500 0.7784 0.8750
Fe 0.2784 0.2500 0.6250
Fe 0.7216 0.7500 0.6250
Fe 0.7500 0.2216 0.8750
Fe 0.7500 0.2784 0.3750
Fe 0.7784 0.7500 0.1250
Cu 0.0000 0.0000 0.5000
Cu 0.0000 0.5000 0.7500
Cu 0.5000 0.0000 0.2500
Cu 0.5000 0.5000 0.0000
B 0.0000 0.0000 0.0000
B 0.0000 0.5000 0.2500
B 0.5000 0.0000 0.7500
B 0.5000 0.5000 0.5000

Results
energy relative to the elements	683	meV/atom

---

# 2
La8CN3 | PBE-GGA | relaxed

Cell: 7.4031 7.4031 8.0373 Å, 117.99 117.99 60.01°
Atoms (fractional coordinates):
La 0.2345 0.7402 0.7104
La 0.2376 0.2376 0.7082
La 0.2598 0.2598 0.2897
La 0.2598 0.7655 0.2896
La 0.7402 0.2345 0.7104
La 0.7402 0.7402 0.7103
La 0.7624 0.7624 0.2918
La 0.7655 0.2598 0.2896
C 0.5000 0.5000 0.5000
N 0.0000 0.0000 0.5000
N 0.0000 0.5000 0.5000
N 0.5000 0.0000 0.5000

Results
energy relative to the elements, uncorrected	-0.70	eV/atom

---

# 3
Tl3Hg2Pd8 | PBE-GGA | relaxed

Cell: 8.8452 8.8452 4.1576 Å, 90.00 90.00 125.60°
Atoms (fractional coordinates):
Tl 0.0000 0.0000 0.0000
Tl 0.3021 0.3021 0.5000
Tl 0.6979 0.6979 0.5000
Hg 0.2440 0.7560 0.0000
Hg 0.7560 0.2440 0.0000
Pd 0.1210 0.8790 0.5000
Pd 0.1332 0.3801 0.0000
Pd 0.3583 0.6417 0.5000
Pd 0.3801 0.1332 0.0000
Pd 0.6199 0.8668 0.0000
Pd 0.6417 0.3583 0.5000
Pd 0.8668 0.6199 0.0000
Pd 0.8790 0.1210 0.5000

Results
energy relative to the elements	-16	meV/atom
ΔE to the lowest computed polymorph	0	meV/atom

---

# 4
TlCdPd2 | PBE-GGA | relaxed

Cell: 4.5123 4.5123 3.6117 Å, 90.00 90.00 90.00°
Atoms (fractional coordinates):
Tl 0.0000 0.0000 0.0000
Cd 0.5000 0.5000 0.0000
Pd 0.0000 0.5000 0.5000
Pd 0.5000 0.0000 0.5000

Results
energy relative to the elements	-242	meV/atom

---

# 5
Ba2TaBO6 | PBE-GGA | relaxed

Cell: 5.7192 5.7192 5.7192 Å, 111.58 111.58 105.33°
Atoms (fractional coordinates):
Ba 0.2500 0.7500 0.5000
Ba 0.7500 0.2500 0.5000
Ta 0.0000 0.0000 0.0000
B 0.5000 0.5000 0.0000
O 0.2149 0.2149 0.4298
O 0.2149 0.7851 0.0000
O 0.3141 0.3141 0.0000
O 0.6859 0.6859 0.0000
O 0.7851 0.2149 0.0000
O 0.7851 0.7851 0.5702

Results
energy relative to the elements, uncorrected	-2.60	eV/atom

---

# 6
LaSc2PdRu | PBE-GGA | relaxed

Cell: 4.8436 4.8436 5.2503 Å, 90.00 90.00 90.00°
Atoms (fractional coordinates):
La 0.0000 0.0000 0.0000
Sc 0.0000 0.5000 0.5000
Sc 0.5000 0.0000 0.5000
Pd 0.5000 0.5000 0.5000
Ru 0.5000 0.5000 0.0000

Results
energy relative to the elements	117	meV/atom

---

# 7
Dy2Tm7Th2 | PBE-GGA | relaxed

Cell: 7.8972 7.8972 6.0584 Å, 106.23 106.23 91.77°
Atoms (fractional coordinates):
Dy 0.2134 0.7866 0.0000
Dy 0.7866 0.2134 0.0000
Tm 0.0000 0.0000 0.5000
Tm 0.0656 0.5886 0.3272
Tm 0.2384 0.2384 0.0775
Tm 0.4114 0.9344 0.6728
Tm 0.5886 0.0656 0.3272
Tm 0.7616 0.7616 0.9225
Tm 0.9344 0.4114 0.6728
Th 0.4118 0.4118 0.6908
Th 0.5882 0.5882 0.3092

Results
energy relative to the elements	181	meV/atom
ΔE to the lowest computed polymorph	0	meV/atom

---

# 8
KRuBr2 | PBE-GGA | relaxed

Cell: 3.8228 6.1888 9.7737 Å, 90.00 90.00 90.00°
Atoms (fractional coordinates):
K 0.0000 0.0000 0.0000
K 0.5000 0.5000 0.5000
Ru 0.0000 0.0000 0.5000
Ru 0.5000 0.5000 0.0000
Br 0.0000 0.5000 0.1654
Br 0.0000 0.5000 0.8346
Br 0.5000 0.0000 0.3346
Br 0.5000 0.0000 0.6654

Results
energy relative to the elements, uncorrected	-0.29	eV/atom
ΔE to the lowest computed polymorph	0	meV/atom

---

Number 1: uncorrected energy -6.241 eV per atom, M_tot 16.5 μB/cell. Number 2: uncorrected energy -6.840 eV per atom, M_tot 1.5 μB/cell. Number 3: uncorrected energy -3.804 eV per atom, M_tot 0.0 μB/cell. Number 4: uncorrected energy -3.659 eV per atom, M_tot 0.0 μB/cell. Number 5: uncorrected energy -7.808 eV per atom, M_tot 0.0 μB/cell. Number 6: uncorrected energy -6.294 eV per atom, M_tot 0.0 μB/cell. Number 7: uncorrected energy -4.850 eV per atom, M_tot 0.0 μB/cell. Number 8: uncorrected energy -3.719 eV per atom, M_tot 2.0 μB/cell.